1.
## RbTl3Pt (PBE-GGA)

Data for an optimized crystal structure of RbTl3Pt.

Results
As for the magnetization: 0.0 μB per formula unit. As for the calculated total energy: -29.53 eV/cell.

a = 8.932 Å, b = 4.278 Å, c = 9.574 Å
α = 90.00°, β = 114.85°, γ = 90.00°
Space group P2_1/m (No. 11)
One atom of each set of equivalent atoms:
Rb 0.221 0.250 0.431 [2 per cell]
Tl 0.057 0.250 0.915 [2 per cell]
Tl 0.265 0.750 0.770 [2 per cell]
Tl 0.380 0.750 0.194 [2 per cell]
Pt 0.393 0.250 0.994 [2 per cell]

2.
## PrErZn2Au4 (PBE-GGA)

Data for an optimized crystal structure of PrErZn2Au4.

Results
As for the energy of formation from the pure elements: -603 meV/atom. As for the magnetization: 0.0 μB per formula unit.

a = 4.883 Å, b = 4.883 Å, c = 6.933 Å
α = 90.00°, β = 90.00°, γ = 90.00°
Space group P4/mmm (No. 123)
One atom of each set of equivalent atoms:
Pr 0.000 0.000 0.000 [1 per cell]
Er 0.500 0.500 0.500 [1 per cell]
Zn 0.000 0.000 0.500 [1 per cell]
Zn 0.500 0.500 0.000 [1 per cell]
Au 0.000 0.500 0.267 [4 per cell]

3.
## TmAlPt (PBE-GGA)

Data for an optimized crystal structure of TmAlPt.

Results
As for the magnetization: 0.4 μB per formula unit. As for the calculated total energy: -68.06 eV/cell.

a = 6.427 Å, b = 6.427 Å, c = 6.427 Å
α = 90.00°, β = 90.00°, γ = 90.00°
Space group F-43m (No. 216)
One atom of each set of equivalent atoms:
Tm 0.000 0.000 0.000 [4 per cell]
Al 0.000 0.000 0.500 [4 per cell]
Pt 0.250 0.250 0.750 [4 per cell]

4.
## CsSbPdS3 (PBE-GGA)

Data for an optimized crystal structure of CsSbPdS3.

Results
As for the calculated total energy: -50.80 eV/cell.

a = 9.208 Å, b = 4.160 Å, c = 9.762 Å
α = 90.00°, β = 108.89°, γ = 90.00°
Space group P2_1/m (No. 11)
One atom of each set of equivalent atoms:
Cs 0.195 0.250 0.245 [2 per cell]
Sb 0.337 0.750 0.869 [2 per cell]
Pd 0.075 0.250 0.583 [2 per cell]
S 0.148 0.250 0.866 [2 per cell]
S 0.189 0.750 0.557 [2 per cell]
S 0.457 0.750 0.142 [2 per cell]

5.
## AcTaAsO (PBE-GGA)

Data for an optimized crystal structure of AcTaAsO.

Results
As for the magnetization: 0.0 μB per formula unit. Its energy above the most stable polymorph in this dataset is 5.14 eV per formula unit.

a = 4.408 Å, b = 4.408 Å, c = 9.533 Å
α = 90.00°, β = 90.00°, γ = 90.00°
Space group P4/nmm (No. 129, origin choice 2)
One atom of each set of equivalent atoms:
Ac 0.250 0.750 0.000 [2 per cell]
Ta 0.250 0.250 0.490 [2 per cell]
As 0.250 0.250 0.233 [2 per cell]
O 0.250 0.750 0.500 [2 per cell]

6.
## NdY2 (PBE-GGA)

Data for an optimized crystal structure of NdY2.

Results
As for the energy of formation from the pure elements: 298 meV/atom. As for the magnetization: 2.3 μB per formula unit. Its energy above the most stable polymorph in this dataset is 0.00 eV per formula unit.

a = 9.472 Å, b = 9.472 Å, c = 9.472 Å
α = 90.00°, β = 90.00°, γ = 90.00°
Space group Fd-3m (No. 227, origin choice 2)
One atom of each set of equivalent atoms:
Nd 0.125 0.125 0.125 [8 per cell]
Y 0.000 0.000 0.500 [16 per cell]

7.
## LuZnCuSb (PBE-GGA)

Data for an optimized crystal structure of LuZnCuSb.

Results
As for the magnetization: 0.0 μB per formula unit. Its energy above the most stable polymorph in this dataset is 0.00 eV per formula unit.

a = 6.830 Å, b = 6.830 Å, c = 6.830 Å
α = 90.00°, β = 90.00°, γ = 90.00°
Space group F-43m (No. 216)
One atom of each set of equivalent atoms:
Lu 0.000 0.000 0.000 [4 per cell]
Zn 0.250 0.250 0.250 [4 per cell]
Cu 0.250 0.250 0.750 [4 per cell]
Sb 0.000 0.000 0.500 [4 per cell]

8.
## Nd2TmMg3InGa2 (PBE-GGA)

Data for an optimized crystal structure of Nd2TmMg3InGa2.

Results
As for the magnetization: 0.0 μB per formula unit. As for the calculated total energy: -63.12 eV/cell.

a = 4.608 Å, b = 12.768 Å, c = 7.487 Å
α = 90.00°, β = 90.00°, γ = 90.00°
Space group Amm2 (No. 38)
One atom of each set of equivalent atoms:
Nd 0.000 0.218 0.000 [4 per cell]
Tm 0.000 0.000 0.655 [2 per cell]
Mg 0.500 0.000 0.971 [2 per cell]
Mg 0.500 0.124 0.345 [4 per cell]
In 0.000 0.000 0.228 [2 per cell]
Ga 0.500 0.162 0.718 [4 per cell]

9.
## Lu4CoSnC2 (PBE-GGA)

Data for an optimized crystal structure of Lu4CoSnC2.

Results
As for the magnetization: 0.7 μB per formula unit. As for the calculated total energy: -50.41 eV/cell.

a = 3.4966 Å, b = 3.4966 Å, c = 14.4278 Å
α = 90.00°, β = 90.00°, γ = 120.00°
Space group P-6m2 (No. 187)
One atom of each set of equivalent atoms:
Lu 0.0000 0.0000 0.1368 [2 per cell]
Lu 0.3333 0.6667 0.3177 [2 per cell]
Co 0.3333 0.6667 0.0000 [1 per cell]
Sn 0.0000 0.0000 0.5000 [1 per cell]
C 0.6667 0.3333 0.2315 [2 per cell]

10.
## ScCdFeSi (PBE-GGA)

Data for an optimized crystal structure of ScCdFeSi.

Results
As for the magnetization: 1.3 μB per formula unit. Its energy above the most stable polymorph in this dataset is 0.44 eV per formula unit.

a = 6.335 Å, b = 6.335 Å, c = 6.335 Å
α = 90.00°, β = 90.00°, γ = 90.00°
Space group F-43m (No. 216)
One atom of each set of equivalent atoms:
Sc 0.000 0.000 0.000 [4 per cell]
Cd 0.250 0.250 0.250 [4 per cell]
Fe 0.250 0.250 0.750 [4 per cell]
Si 0.000 0.000 0.500 [4 per cell]

11.
## HoAl2Hg (PBE-GGA)

Data for an optimized crystal structure of HoAl2Hg.

Results
As for the magnetization: 0.0 μB per formula unit. Its energy above the most stable polymorph in this dataset is 0.03 eV per formula unit.

a = 6.480 Å, b = 10.607 Å, c = 4.827 Å
α = 90.00°, β = 90.00°, γ = 90.00°
Space group Cmcm (No. 63)
One atom of each set of equivalent atoms:
Ho 0.000 0.154 0.250 [4 per cell]
Al 0.219 0.424 0.250 [8 per cell]
Hg 0.000 0.328 0.750 [4 per cell]

12.
## DyYTl4Pd2 (PBE-GGA)

Data for an optimized crystal structure of DyYTl4Pd2.

Results
As for the magnetization: 0.0 μB per formula unit. As for the calculated total energy: -67.90 eV/cell.

a = 7.588 Å, b = 4.561 Å, c = 10.796 Å
α = 90.00°, β = 90.00°, γ = 90.00°
Space group Amm2 (No. 38)
One atom of each set of equivalent atoms:
Dy 0.000 0.000 0.000 [2 per cell]
Y 0.500 0.000 0.843 [2 per cell]
Tl 0.206 0.000 0.285 [4 per cell]
Tl 0.293 0.000 0.558 [4 per cell]
Pd 0.000 0.000 0.720 [2 per cell]
Pd 0.500 0.000 0.124 [2 per cell]